Entry 1:
Here is a geometry-optimized Pu2ScSi structure from Alexandria. Energies are from PBE-GGA.

a b c (Å): 4.2208 4.2208 4.6925
angles (deg): 90.00 90.00 90.00
Fractional positions:
Pu1 0.0000 0.5000 0.0000
Pu2 0.5000 0.0000 0.0000
Sc1 0.0000 0.0000 0.5000
Si1 0.5000 0.5000 0.5000

Calculated values
The formation energy (no corrections) comes out at -276 meV/atom. The calculation puts the density of states at the Fermi level at 8.73 states/eV per cell. For the magnetization, the calculation gives 10.7 μB/f.u.

***

Entry 2:
Here is a geometry-optimized PuSc2Si structure from Alexandria. Energies are from PBE-GGA.

a b c (Å): 3.3045 3.3045 28.4941
angles (deg): 90.00 90.00 120.00
Fractional positions:
Pu1 0.0000 0.0000 0.0000
Pu2 0.3333 0.6667 0.6667
Pu3 0.6667 0.3333 0.3333
Sc1 0.0000 0.0000 0.2360
Sc2 0.0000 0.0000 0.7640
Sc3 0.3333 0.6667 0.4307
Sc4 0.3333 0.6667 0.9027
Sc5 0.6667 0.3333 0.0973
Sc6 0.6667 0.3333 0.5693
Si1 0.0000 0.0000 0.5000
Si2 0.3333 0.6667 0.1667
Si3 0.6667 0.3333 0.8333

Calculated values
The formation energy (no corrections) comes out at -102 meV/atom. The calculation puts the density of states at the Fermi level at 25.03 states/eV per cell. For the magnetization, the calculation gives 6.5 μB/f.u.

***

Entry 3:
Here is a geometry-optimized PuScSi3 structure from Alexandria. Energies are from PBE-GGA.

a b c (Å): 12.1769 12.1769 3.8756
angles (deg): 90.00 90.00 161.25
Fractional positions:
Pu1 0.0739 0.9261 0.7500
Pu2 0.9261 0.0739 0.2500
Sc1 0.2043 0.7957 0.2500
Sc2 0.7957 0.2043 0.7500
Si1 0.3189 0.6811 0.2500
Si2 0.3776 0.6224 0.7500
Si3 0.4743 0.5257 0.7500
Si4 0.5257 0.4743 0.2500
Si5 0.6224 0.3776 0.2500
Si6 0.6811 0.3189 0.7500

Calculated values
The formation energy (no corrections) comes out at -596 meV/atom. The calculation puts the density of states at the Fermi level at 18.84 states/eV per cell. For the magnetization, the calculation gives 5.3 μB/f.u.

***

Entry 4:
Here is a geometry-optimized SmPuSc structure from Alexandria. Energies are from PBE-GGA.

a b c (Å): 3.4245 3.4245 8.3498
angles (deg): 90.00 90.00 120.00
Fractional positions:
Sm1 0.0000 0.0000 0.0000
Pu1 0.6667 0.3333 0.3486
Sc1 0.3333 0.6667 0.6666

Calculated values
The calculation puts the density of states at the Fermi level at 9.40 states/eV per cell. The calculation puts the polymorph energy (0 for the lowest one) at 0.024 eV per atom. As for the energy of formation from the pure elements: 0.154 eV/atom. For the magnetization, the calculation gives 5.8 μB/f.u.

***

Results for mass density: 11.1 6.7 6.7 8.6 (in g/cm³, following the order of the records).
Results for final energy: -10.38 -8.21 -7.98 -8.31 (in eV per atom, following the order of the records).